Below is a geometry-optimized ScTaFe4 structure, with properties calculated at the PBE level.

## Properties
SG	F-43m (216)
energy of formation	-229	meV/atom

Unit cell a=4.8743 b=4.8743 c=4.8743 alpha=60.00 beta=60.00 gamma=60.00
Last column: nearest neighbours and their distance in Å.
Positions (direct):
Sc  0.0000  0.0000  0.0000  12 Fe 2.86, 4 Ta 2.98
Ta  0.7500  0.7500  0.7500  12 Fe 2.86, 4 Sc 2.98
Fe  0.3753  0.3753  0.3753  6 Fe 2.43-2.44
Fe  0.3753  0.3753  0.8742  6 Fe 2.43-2.44
Fe  0.3753  0.8742  0.3753  6 Fe 2.43-2.44
Fe  0.8742  0.3753  0.3753  6 Fe 2.43-2.44